# 1
BeTc2Br: optimized geometry, PBE-GGA.

Cell and atoms, written as CIF:
```
data_BeTc2Br
_symmetry_space_group_name_H-M 'C m m 2'
_symmetry_Int_Tables_number 35
_cell_length_a 3.0324
_cell_length_b 4.9139
_cell_length_c 8.3745
_cell_angle_alpha 90.00
_cell_angle_beta 90.00
_cell_angle_gamma 90.00
loop_
_symmetry_equiv_pos_as_xyz
'x,y,z'
'-x,-y,z'
'-x,y,z'
'x,-y,z'
'x+1/2,y+1/2,z'
'-x+1/2,-y+1/2,z'
'-x+1/2,y+1/2,z'
'x+1/2,-y+1/2,z'
loop_
_atom_site_label
_atom_site_fract_x
_atom_site_fract_y
_atom_site_fract_z
_atom_site_occupancy
Be1 0.0000 0.0000 0.0000 1
Tc1 0.0000 0.0000 0.4653 1
Tc2 0.0000 0.5000 0.2225 1
Br1 0.0000 0.5000 0.7978 1
```

Output
Final energy, eV/atom: -5.91
ΔE_f (raw), kJ/mol of formula units: 241
Energy above the most stable polymorph in this dataset, eV/atom: 0.3309


# 2
BeTc2Br: optimized geometry, PBE-GGA.

Cell and atoms, written as CIF:
```
data_BeTc2Br
_symmetry_space_group_name_H-M 'I m m 2'
_symmetry_Int_Tables_number 44
_cell_length_a 2.9952
_cell_length_b 4.3513
_cell_length_c 8.8017
_cell_angle_alpha 90.00
_cell_angle_beta 90.00
_cell_angle_gamma 90.00
loop_
_symmetry_equiv_pos_as_xyz
'x,y,z'
'-x,-y,z'
'-x,y,z'
'x,-y,z'
'x+1/2,y+1/2,z+1/2'
'-x+1/2,-y+1/2,z+1/2'
'-x+1/2,y+1/2,z+1/2'
'x+1/2,-y+1/2,z+1/2'
loop_
_atom_site_label
_atom_site_fract_x
_atom_site_fract_y
_atom_site_fract_z
_atom_site_occupancy
Be1 0.0000 0.0000 0.0000 1
Tc1 0.0000 0.0000 0.5171 1
Tc2 0.0000 0.5000 0.2831 1
Br1 0.0000 0.5000 0.7749 1
```

Output
Final energy, eV/atom: -5.79
ΔE_f (raw), kJ/mol of formula units: 288
Energy above the most stable polymorph in this dataset, eV/atom: 0.4538


# 3
BeTcBr: optimized geometry, PBE-GGA.

Cell and atoms, written as CIF:
```
data_BeTcBr
_symmetry_space_group_name_H-M 'P 4 m m'
_symmetry_Int_Tables_number 99
_cell_length_a 2.9999
_cell_length_b 2.9999
_cell_length_c 5.4010
_cell_angle_alpha 90.00
_cell_angle_beta 90.00
_cell_angle_gamma 90.00
loop_
_symmetry_equiv_pos_as_xyz
'x,y,z'
'-y,x,z'
'-x,-y,z'
'y,-x,z'
'-x,y,z'
'y,x,z'
'x,-y,z'
'-y,-x,z'
loop_
_atom_site_label
_atom_site_fract_x
_atom_site_fract_y
_atom_site_fract_z
_atom_site_occupancy
Be1 0.0000 0.0000 0.0000 1
Tc1 0.5000 0.5000 0.7709 1
Br1 0.0000 0.0000 0.4605 1
```

Output
Final energy, eV/atom: -4.73
ΔE_f (raw), kJ/mol of formula units: 151
Energy above the most stable polymorph in this dataset, eV/atom: 0.0415


# 4
Be2TcBr: optimized geometry, PBE-GGA.

Cell and atoms, written as CIF:
```
data_Be2TcBr
_symmetry_space_group_name_H-M 'C m m 2'
_symmetry_Int_Tables_number 35
_cell_length_a 4.3122
_cell_length_b 4.3265
_cell_length_c 7.1546
_cell_angle_alpha 90.00
_cell_angle_beta 90.00
_cell_angle_gamma 90.00
loop_
_symmetry_equiv_pos_as_xyz
'x,y,z'
'-x,-y,z'
'-x,y,z'
'x,-y,z'
'x+1/2,y+1/2,z'
'-x+1/2,-y+1/2,z'
'-x+1/2,y+1/2,z'
'x+1/2,-y+1/2,z'
loop_
_atom_site_label
_atom_site_fract_x
_atom_site_fract_y
_atom_site_fract_z
_atom_site_occupancy
Be1 0.0000 0.0000 0.0000 1
Be2 0.0000 0.5000 0.1712 1
Tc1 0.0000 0.0000 0.3055 1
Br1 0.0000 0.5000 0.8142 1
```

Output
Final energy, eV/atom: -4.40
ΔE_f (raw), kJ/mol of formula units: 183
Energy above the most stable polymorph in this dataset, eV/atom: 0.2281


# 5
BeTcBr2: optimized geometry, PBE-GGA.

Cell and atoms, written as CIF:
```
data_BeTcBr2
_symmetry_space_group_name_H-M 'P 1 2/m 1'
_symmetry_Int_Tables_number 10
_cell_length_a 3.2983
_cell_length_b 4.2790
_cell_length_c 5.4569
_cell_angle_alpha 90.00
_cell_angle_beta 96.50
_cell_angle_gamma 90.00
loop_
_symmetry_equiv_pos_as_xyz
'x,y,z'
'-x,-y,-z'
'-x,y,-z'
'x,-y,z'
loop_
_atom_site_label
_atom_site_fract_x
_atom_site_fract_y
_atom_site_fract_z
_atom_site_occupancy
Be1 0.0000 0.0000 0.0000 1
Tc1 0.5000 0.0000 0.5000 1
Br1 0.2834 0.5000 0.2493 1
```

Output
Final energy, eV/atom: -3.49
ΔE_f (raw), kJ/mol of formula units: 334
Energy above the most stable polymorph in this dataset, eV/atom: 0.7920


# 6
BeTcBr: optimized geometry, PBE-GGA.

Cell and atoms, written as CIF:
```
data_BeTcBr
_symmetry_space_group_name_H-M 'C 1 m 1'
_symmetry_Int_Tables_number 8
_cell_length_a 12.8222
_cell_length_b 2.8904
_cell_length_c 2.8960
_cell_angle_alpha 90.00
_cell_angle_beta 102.91
_cell_angle_gamma 90.00
loop_
_symmetry_equiv_pos_as_xyz
'x,y,z'
'x,-y,z'
'x+1/2,y+1/2,z'
'x+1/2,-y+1/2,z'
loop_
_atom_site_label
_atom_site_fract_x
_atom_site_fract_y
_atom_site_fract_z
_atom_site_occupancy
Be1 0.0000 0.0000 0.0000 1
Tc1 0.3953 0.0000 0.3962 1
Br1 0.2028 0.0000 0.2058 1
```

Output
Final energy, eV/atom: -4.67
ΔE_f (raw), kJ/mol of formula units: 169
Energy above the most stable polymorph in this dataset, eV/atom: 0.1028